This record from Alexandria describes crystalline MnBeAs2 at its relaxed geometry. The functional is GGA-PBE.

Results
ρ ... 5.9 Mg/m³
Energy relative to the elements ... 0.189 eV/f.u.
Excess energy over the best structure of this formula in the dataset ... 0.081 eV/atom
Crystal system ... tetragonal
Uncorrected energy ... -5.5015 eV per atom

extended XYZ file:
```
4
Lattice="2.969 0.000 0.000 0.000 2.969 0.000 0.000 0.000 6.853" Properties=species:S:1:pos:R:3 pbc="T T T"
Mn 0.000 0.000 0.000
Be 1.484 1.484 5.778
As 0.000 0.000 4.376
As 1.484 1.484 1.272
```